PBE LaCu3N, optimized geometry; D(E_F) = 0.00 states/eV/cell; calculated total energy = -3.0104 eV/atom; energy above the lowest structure with this stoichiometry = 1727 meV/atom; SG = Pm-3m; energy relative to the elements, uncorrected = 2.10 eV/atom
1.0
5.614 0.000 0.000
0.000 5.614 0.000
0.000 0.000 5.614
Cu N La
3 1 1
Direct
0.000 0.000 0.500
0.500 0.000 0.000
0.000 0.500 0.000
0.500 0.500 0.500
0.000 0.000 0.000

PBE TbErNp2P4, optimized geometry; D(E_F) = 16.76 states/eV/cell; calculated total energy = -8.3261 eV/atom; SG = P2/m
1.0
3.972 0.000 0.000
0.000 6.881 0.119
0.000 -2.405 6.449
P Er Np Tb
4 1 2 1
Direct
0.000 0.750 0.255
0.500 0.254 0.257
0.500 0.746 0.743
0.000 0.250 0.745
0.500 0.500 0.000
0.500 0.000 0.500
0.000 0.500 0.500
0.000 0.000 0.000

PBE Na4Pa3CrN8, optimized geometry; D(E_F) = 3.26 states/eV/cell; calculated total energy = -7.7360 eV/atom; SG = R-3m; energy relative to the elements, uncorrected = -0.86 eV/atom
1.0
-2.321 4.959 -4.105
1.171 -4.025 -5.525
-3.917 -2.329 5.106
Pa N Na Cr
3 8 4 1
Direct
0.500 0.500 0.500
0.500 0.500 0.000
0.000 0.500 0.500
0.782 0.317 0.563
0.254 0.317 0.036
0.732 0.696 0.464
0.218 0.683 0.964
0.268 0.304 0.536
0.746 0.683 0.964
0.782 0.317 0.036
0.218 0.683 0.437
0.000 0.000 0.000
0.500 0.000 0.500
0.500 0.000 0.000
0.000 0.000 0.500
0.000 0.500 0.000

PBE Ac2CdI, optimized geometry; D(E_F) = 4.06 states/eV/cell; calculated total energy = -3.2378 eV/atom; energy above the lowest structure with this stoichiometry = 3 meV/atom; SG = P4/mmm; energy relative to the elements, uncorrected = -0.57 eV/atom
1.0
-1.915 1.847 2.941
2.493 -1.608 2.633
5.526 7.128 -0.879
Ac Cd I
2 1 1
Direct
0.000 0.000 0.227
0.000 0.000 0.773
0.500 0.500 0.000
0.500 0.500 0.500